(1)
# KRb2PrI6

KRb2PrI6 after structural relaxation (PBE-GGA, the Alexandria database).

Calculated values
- VASP energy (eV/atom) = -3.181

Unit cell a=8.9709 b=8.9716 c=9.2335 alpha=60.94 beta=60.94 gamma=60.00
Fractional positions:
I: 0.5679 0.1903 0.2566
I: 0.4470 0.6644 0.7796
I: 0.1903 0.9852 0.2566
I: 0.1090 0.4470 0.7796
I: 0.9852 0.5679 0.2566
I: 0.6644 0.1091 0.7796
K: 0.8173 0.8173 0.5482
Pr: 0.3223 0.3223 0.0330
Rb: 0.0258 0.0258 0.9226
Rb: 0.5324 0.5324 0.4029

(2)
# KPrSn2I8

KPrSn2I8 after structural relaxation (PBE-GGA, the Alexandria database).

Calculated values
- VASP energy (eV/atom) = -3.124

Unit cell a=7.8640 b=7.3917 c=9.6546 alpha=89.97 beta=89.99 gamma=89.06
Fractional positions:
I: 0.3651 0.2706 0.5002
I: 0.1598 0.7463 0.7708
I: 0.6349 0.7294 0.4998
I: 0.3315 0.2442 0.0002
I: 0.1592 0.7457 0.2295
I: 0.6685 0.7558 0.9998
I: 0.8408 0.2543 0.7705
I: 0.8402 0.2537 0.2292
Sn: 0.5002 0.5001 0.7463
Sn: 0.4998 0.4999 0.2537
Pr: 0.0000 0.0000 0.0000
K: 0.0000 0.0000 0.5000

(3)
# KPrTl2I6

KPrTl2I6 after structural relaxation (PBE-GGA, the Alexandria database).

Calculated values
- VASP energy (eV/atom) = -3.121

Unit cell a=8.7066 b=8.7048 c=9.1377 alpha=61.53 beta=61.51 gamma=59.98
Fractional positions:
K: 0.8167 0.8168 0.5495
I: 0.2127 0.9666 0.2482
I: 0.1231 0.4167 0.7663
I: 0.5725 0.2126 0.2483
I: 0.9666 0.5726 0.2483
I: 0.6942 0.1230 0.7663
I: 0.4165 0.6941 0.7661
Tl: 0.0132 0.0132 0.9606
Tl: 0.5215 0.5214 0.4356
Pr: 0.3246 0.3246 0.0261

(4)
# K2PrTlI6

K2PrTlI6 after structural relaxation (PBE-GGA, the Alexandria database).

Calculated values
- VASP energy (eV/atom) = -3.158

Unit cell a=8.7383 b=8.7376 c=9.1430 alpha=61.45 beta=61.44 gamma=60.00
Fractional positions:
I: 0.1153 0.4279 0.7701
I: 0.6867 0.1154 0.7701
I: 0.5715 0.2072 0.2514
I: 0.2073 0.9698 0.2513
I: 0.9698 0.5716 0.2514
I: 0.4278 0.6867 0.7700
Tl: 0.8161 0.8161 0.5517
K: 0.5263 0.5262 0.4212
K: 0.0165 0.0166 0.9504
Pr: 0.3242 0.3241 0.0275